Material: Mg3In3Ni2Hg
Method: DFT, GGA-PBE
State: relaxed

energy of formation from the pure elements: -68 meV per atom
total magnetization: 0.000 μB/f.u.
DOS at the Fermi energy: 0.216 states/eV/atom

Cell: 7.8024 7.8024 3.2174 Å, 90.00 90.00 120.00°
Space group P-62m (No. 189)
Inequivalent atoms, fractional coordinates:
Mg 0.0000 0.7014 0.0000
In 0.0000 0.3870 0.5000
Ni 0.3333 0.6667 0.0000
Hg 0.0000 0.0000 0.5000


Material: SiAgW
Method: DFT, GGA-PBE
State: relaxed

total magnetization: 0.000 μB/f.u.
DOS at the Fermi energy: 0.739 states/eV/atom
uncorrected energy: -6.671 eV/atom

Cell: 3.168 4.591 13.312 Å, 90.00 90.00 90.00°
Space group Fmm2 (No. 42)
Inequivalent atoms, fractional coordinates:
Si 0.000 0.000 0.000
Ag 0.000 0.000 0.331
W 0.000 0.000 0.646


Material: KBeSi2
Method: DFT, GGA-PBE
State: relaxed

total magnetization: 0.000 μB/f.u.
DOS at the Fermi energy: 0.368 states/eV/atom
uncorrected energy: -3.048 eV/atom

Cell: 5.586 2.641 5.613 Å, 90.00 119.55 90.00°
Space group P2/m (No. 10)
Inequivalent atoms, fractional coordinates:
K 0.000 0.000 0.000
Be 0.500 0.000 0.500
Si 0.000 0.500 0.500
Si 0.500 0.500 0.000


Material: KCo2AuN
Method: DFT, GGA-PBE
State: relaxed

total magnetization: 2.707 μB/f.u.
DOS at the Fermi energy: 4.136 states/eV/atom
uncorrected energy: -2.083 eV/atom

Cell: 5.089 5.089 5.623 Å, 90.00 90.00 90.00°
Space group P4/mmm (No. 123)
Inequivalent atoms, fractional coordinates:
K 0.000 0.000 0.000
Co 0.000 0.500 0.000
Au 0.000 0.000 0.500
N 0.500 0.500 0.500


Material: Mn3ReSe
Method: DFT, GGA-PBE
State: relaxed

total magnetization: 9.082 μB/f.u.
DOS at the Fermi energy: 0.995 states/eV/atom
uncorrected energy: -7.485 eV/atom

Cell: 4.688 4.688 4.688 Å, 90.00 90.00 90.00°
Space group Pm-3m (No. 221)
Inequivalent atoms, fractional coordinates:
Mn 0.000 0.000 0.500
Re 0.000 0.000 0.000
Se 0.500 0.500 0.500


Material: Pr3Si8Ir3
Method: DFT, GGA-PBE
State: relaxed

total magnetization: 0.000 μB/f.u.
DOS at the Fermi energy: 0.461 states/eV/atom
uncorrected energy: -6.559 eV/atom

Cell: 4.220 9.817 11.881 Å, 90.00 90.00 90.00°
Space group Immm (No. 71)
Inequivalent atoms, fractional coordinates:
Pr 0.000 0.000 0.000
Pr 0.000 0.000 0.306
Si 0.000 0.288 0.124
Si 0.000 0.363 0.336
Ir 0.000 0.217 0.500
Ir 0.000 0.500 0.000


Material: SrCaCu2
Method: DFT, GGA-PBE
State: relaxed

energy of formation from the pure elements: 70 meV per atom
total magnetization: 0.000 μB/f.u.
DOS at the Fermi energy: 0.823 states/eV/atom

Cell: 3.547 3.547 8.159 Å, 90.00 90.00 90.00°
Space group P4mm (No. 99)
Inequivalent atoms, fractional coordinates:
Sr 0.000 0.000 0.000
Ca 0.500 0.500 0.407
Cu 0.000 0.000 0.635
Cu 0.500 0.500 0.749


Material: CrSNCl2
Method: DFT, GGA-PBE
State: relaxed

total magnetization: 0.002 μB/f.u.
DOS at the Fermi energy: 2.385 states/eV/atom
uncorrected energy: -3.960 eV/atom

Cell: 4.554 4.554 4.397 Å, 90.00 90.00 90.00°
Space group P4/mmm (No. 123)
Inequivalent atoms, fractional coordinates:
Cr 0.000 0.000 0.000
S 0.000 0.000 0.500
N 0.500 0.500 0.500
Cl 0.000 0.500 0.000


Material: Ac3MgCr2N6
Method: DFT, GGA-PBE
State: relaxed

total magnetization: 0.000 μB/f.u.
DOS at the Fermi energy: 0.380 states/eV/atom
uncorrected energy: -7.846 eV/atom

Cell: 5.8264 5.8264 6.8163 Å, 90.00 90.00 120.00°
Space group P-3m1 (No. 164)
Inequivalent atoms, fractional coordinates:
Ac 0.0000 0.0000 0.0000
Ac 0.3333 0.6667 0.6758
Mg 0.0000 0.0000 0.5000
Cr 0.3333 0.6667 0.2260
N 0.1698 0.3396 0.2985


Material: YHo3Pt
Method: DFT, GGA-PBE
State: relaxed

energy of formation from the pure elements: -431 meV per atom
total magnetization: 0.000 μB/f.u.
DOS at the Fermi energy: 1.146 states/eV/atom

Cell: 7.574 6.705 6.041 Å, 90.00 90.00 90.00°
Space group Pmn2_1 (No. 31)
Inequivalent atoms, fractional coordinates:
Y 0.000 0.142 0.000
Ho 0.000 0.849 0.488
Ho 0.246 0.301 0.495
Pt 0.000 0.502 0.749


Material: CaPb2Se
Method: DFT, GGA-PBE
State: relaxed

total magnetization: 0.000 μB/f.u.
DOS at the Fermi energy: 0.374 states/eV/atom
uncorrected energy: -3.732 eV/atom

Cell: 11.695 3.806 5.550 Å, 90.00 111.21 90.00°
Space group Cm (No. 8)
Inequivalent atoms, fractional coordinates:
Ca 0.000 0.000 0.000
Pb 0.050 0.500 0.548
Pb 0.278 0.500 0.274
Se 0.302 0.000 0.754


Material: NbHgS2
Method: DFT, GGA-PBE
State: relaxed

total magnetization: 0.000 μB/f.u.
DOS at the Fermi energy: 0.539 states/eV/atom
uncorrected energy: -5.178 eV/atom

Cell: 6.275 5.929 13.179 Å, 90.00 117.84 90.00°
Space group P2_1/c (No. 14)
Inequivalent atoms, fractional coordinates:
Nb 0.221 0.000 0.471
Hg 0.139 0.240 0.247
S 0.131 0.735 0.087
S 0.460 0.734 0.912